CoTePbO | PBE+U | relaxed

a = 7.555 Å, b = 3.268 Å, c = 14.705 Å
α = 90.00°, β = 90.00°, γ = 90.00°
Fractional positions:
Co (0.188, 0.250, 0.080)
Co (0.312, 0.750, 0.580)
Co (0.688, 0.250, 0.420)
Co (0.812, 0.750, 0.920)
Te (0.176, 0.750, 0.920)
Te (0.324, 0.250, 0.420)
Te (0.676, 0.750, 0.580)
Te (0.824, 0.250, 0.080)
Pb (0.035, 0.750, 0.277)
Pb (0.465, 0.250, 0.777)
Pb (0.535, 0.750, 0.223)
Pb (0.965, 0.250, 0.723)
O (0.238, 0.250, 0.642)
O (0.262, 0.750, 0.142)
O (0.738, 0.250, 0.858)
O (0.762, 0.750, 0.358)

Computed properties:
- Theoretical density: 7496 kg/m³
- Crystal system: orthorhombic
- E above lowest polymorph: 0.3978 eV per atom
- Total moment: 0.201 μB per atom